# 1
VASP calculation (PBE) on a relaxed TmSiNi6 crystal.

Its formation energy (no corrections) is -0.65 eV per formula unit.

a = 5.9760 Å, b = 5.9760 Å, c = 5.0106 Å
α = 53.39°, β = 53.39°, γ = 60.00°
Last column: nearest neighbours and their distance in Å.
Sites, in units of the cell vectors:
Ni 0.4702 0.8634 0.8031  1 Si 2.21, 3 Ni 2.32-2.35
Ni 0.1366 0.1366 0.1969  1 Si 2.21, 3 Ni 2.32-2.35
Ni 0.8634 0.8634 0.8031  1 Si 2.21, 3 Ni 2.32-2.35
Si 0.0000 0.0000 0.0000  6 Ni 2.21
Tm 0.5000 0.5000 0.5000  18 Ni 2.87-3.21
Ni 0.5298 0.1366 0.1969  1 Si 2.21, 3 Ni 2.32-2.35
Ni 0.1366 0.5298 0.1969  1 Si 2.21, 3 Ni 2.32-2.35
Ni 0.8634 0.4702 0.8031  1 Si 2.21, 3 Ni 2.32-2.35

=====

# 2
VASP calculation (PBE) on a relaxed AcDyCdNi crystal.

The value obtained for the formation energy is -0.14 eV/atom.

a = 5.3047 Å, b = 5.3047 Å, c = 5.3047 Å
α = 60.00°, β = 60.00°, γ = 60.00°
Last column: nearest neighbours and their distance in Å.
Sites, in units of the cell vectors:
Dy 0.2500 0.2500 0.2500  4 Ni 3.25, 4 Cd 3.25
Cd 0.0000 0.0000 0.0000  4 Dy 3.25, 4 Ac 3.25
Ni 0.5000 0.5000 0.5000  4 Ac 3.25, 4 Dy 3.25
Ac 0.7500 0.7500 0.7500  4 Cd 3.25, 4 Ni 3.25

=====

E per entry: -0.2078 -0.1466 Ha/atom